Record 1
Computed, not measured: a relaxed Cs2Na4GaSn2 crystal at the GGA-PBE level of DFT. Values from VASP.

Cell and atoms, written as Quantum ESPRESSO input:
```
&SYSTEM
  ibrav = 0, nat = 9, ntyp = 4
/
ATOMIC_SPECIES
Cs 132.91 Cs.upf
Na 22.99 Na.upf
Ga 69.72 Ga.upf
Sn 118.71 Sn.upf
CELL_PARAMETERS angstrom
7.511 -4.202 0.000
7.511 4.202 0.000
-1.664 0.000 5.438
ATOMIC_POSITIONS angstrom
Cs 1.700 0.000 0.897
Cs 11.659 0.000 4.541
Na 4.941 1.652 1.816
Na 8.418 1.652 3.622
Na 4.941 -1.652 1.816
Na 8.418 -1.652 3.622
Ga 7.511 0.000 0.000
Sn 3.477 0.000 4.319
Sn 9.882 0.000 1.119
```

Space-group type: No. 12

---

Record 2
Computed, not measured: a relaxed CsNa2GaSn crystal at the GGA-PBE level of DFT. Values from VASP.

Cell and atoms, written as Quantum ESPRESSO input:
```
&SYSTEM
  ibrav = 0, nat = 5, ntyp = 4
/
ATOMIC_SPECIES
Cs 132.91 Cs.upf
Na 22.99 Na.upf
Ga 69.72 Ga.upf
Sn 118.71 Sn.upf
CELL_PARAMETERS angstrom
6.038 0.000 0.000
0.000 6.038 0.000
0.000 0.000 5.636
ATOMIC_POSITIONS angstrom
Cs 0.000 0.000 0.000
Na 0.000 3.019 2.818
Na 3.019 0.000 2.818
Ga 3.019 3.019 0.000
Sn 3.019 3.019 2.818
```

Polymorph energy (0 for the lowest one): 6 meV/atom
Space-group type: No. 123

---

Number 1: formation energy from the elements -0.0851 eV per atom. Number 2: formation energy from the elements -0.0155 eV per atom.